VASP calculation (PBE with a Hubbard U) on NiAuNF2 after structural relaxation.

Computed properties:
* density: 6.37 Mg/m³
* ΔE to the lowest computed polymorph: 636 meV per atom

abc: 4.6181 4.6181 3.7625
angles: 90.00 90.00 90.00
Space group P4/mmm (No. 123)
Unique sites:
Ni  0.0000  0.0000  0.0000
Au  0.5000  0.5000  0.5000
N  0.5000  0.5000  0.0000
F  0.0000  0.5000  0.5000